# Pr2HoSn3 (PBE, relaxed)
# formation energy: -0.572 eV per atom
# uncorrected energy: -4.930 eV/atom
# crystal system: monoclinic
data_Pr2HoSn3
_space_group_name_H-M_alt 'P 1'
_space_group_IT_number 1
_cell_length_a 6.3701
_cell_length_b 7.3869
_cell_length_c 8.7553
_cell_angle_alpha 102.11
_cell_angle_beta 111.33
_cell_angle_gamma 90.00
loop_
_space_group_symop_operation_xyz
'x,y,z'
loop_
_atom_site_label
_atom_site_fract_x
_atom_site_fract_y
_atom_site_fract_z
_atom_site_occupancy
Pr1 0.6665 0.5839 0.3357 1
Pr2 0.6693 0.0839 0.3357 1
Pr3 0.3307 0.9161 0.6643 1
Pr4 0.3335 0.4161 0.6643 1
Ho1 0.9944 0.7500 0.0000 1
Ho2 0.0056 0.2500 0.0000 1
Sn1 0.5061 0.2500 0.0000 1
Sn2 0.4939 0.7500 0.0000 1
Sn3 0.1629 0.0809 0.3230 1
Sn4 0.8399 0.4191 0.6770 1
Sn5 0.1601 0.5809 0.3230 1
Sn6 0.8371 0.9191 0.6770 1



# In2Ni4B (PBE, relaxed)
# formation energy: -0.076 eV per atom
# uncorrected energy: -5.116 eV/atom
# crystal system: tetragonal
data_In2Ni4B
_space_group_name_H-M_alt 'P 1'
_space_group_IT_number 1
_cell_length_a 3.8633
_cell_length_b 3.8633
_cell_length_c 7.1378
_cell_angle_alpha 74.30
_cell_angle_beta 74.30
_cell_angle_gamma 90.00
loop_
_space_group_symop_operation_xyz
'x,y,z'
loop_
_atom_site_label
_atom_site_fract_x
_atom_site_fract_y
_atom_site_fract_z
_atom_site_occupancy
Ni1 0.1450 0.1450 0.7100 1
Ni2 0.8550 0.8550 0.2900 1
Ni3 0.0000 0.5000 0.0000 1
Ni4 0.5000 0.0000 0.0000 1
B1 0.0000 0.0000 0.0000 1
In1 0.3459 0.3459 0.3082 1
In2 0.6541 0.6541 0.6918 1



# Zr2NbFe (PBE, relaxed)
# formation energy: 0.101 eV per atom
# uncorrected energy: -8.807 eV/atom
# crystal system: cubic
data_Zr2NbFe
_space_group_name_H-M_alt 'P 1'
_space_group_IT_number 1
_cell_length_a 4.6791
_cell_length_b 4.6791
_cell_length_c 4.6791
_cell_angle_alpha 60.00
_cell_angle_beta 60.00
_cell_angle_gamma 60.00
loop_
_space_group_symop_operation_xyz
'x,y,z'
loop_
_atom_site_label
_atom_site_fract_x
_atom_site_fract_y
_atom_site_fract_z
_atom_site_occupancy
Nb1 0.5000 0.5000 0.5000 1
Fe1 0.0000 0.0000 0.0000 1
Zr1 0.2500 0.2500 0.2500 1
Zr2 0.7500 0.7500 0.7500 1



# CaTcCl2 (PBE, relaxed)
# formation energy from raw total energies: -0.387 eV/atom
# uncorrected energy: -4.402 eV/atom
# crystal system: trigonal
data_CaTcCl2
_space_group_name_H-M_alt 'P 1'
_space_group_IT_number 1
_cell_length_a 8.7232
_cell_length_b 8.7232
_cell_length_c 8.7232
_cell_angle_alpha 24.11
_cell_angle_beta 24.11
_cell_angle_gamma 24.11
loop_
_space_group_symop_operation_xyz
'x,y,z'
loop_
_atom_site_label
_atom_site_fract_x
_atom_site_fract_y
_atom_site_fract_z
_atom_site_occupancy
Ca1 0.5000 0.5000 0.5000 1
Tc1 0.0000 0.0000 0.0000 1
Cl1 0.9008 0.9008 0.9008 1
Cl2 0.0992 0.0992 0.0992 1



# K2SrFe (PBE, relaxed)
# formation energy: 0.809 eV per atom
# uncorrected energy: -2.276 eV/atom
# crystal system: monoclinic
data_K2SrFe
_space_group_name_H-M_alt 'P 1'
_space_group_IT_number 1
_cell_length_a 6.7549
_cell_length_b 4.1771
_cell_length_c 6.0734
_cell_angle_alpha 84.27
_cell_angle_beta 90.00
_cell_angle_gamma 90.00
loop_
_space_group_symop_operation_xyz
'x,y,z'
loop_
_atom_site_label
_atom_site_fract_x
_atom_site_fract_y
_atom_site_fract_z
_atom_site_occupancy
Fe1 0.5000 0.7500 0.7500 1
K1 0.0000 0.9619 0.9766 1
K2 0.0000 0.5381 0.5234 1
Sr1 0.5000 0.2500 0.2500 1



# Cr2NiHg (PBE, relaxed)
# formation energy: 0.264 eV per atom
# uncorrected energy: -6.068 eV/atom
# crystal system: tetragonal
data_Cr2NiHg
_space_group_name_H-M_alt 'P 1'
_space_group_IT_number 1
_cell_length_a 3.7655
_cell_length_b 3.7660
_cell_length_c 4.1368
_cell_angle_alpha 90.00
_cell_angle_beta 90.00
_cell_angle_gamma 90.00
loop_
_space_group_symop_operation_xyz
'x,y,z'
loop_
_atom_site_label
_atom_site_fract_x
_atom_site_fract_y
_atom_site_fract_z
_atom_site_occupancy
Cr1 0.0000 0.0000 0.0000 1
Cr2 0.5000 0.5000 0.0000 1
Hg1 0.5000 0.0000 0.5000 1
Ni1 0.0000 0.5000 0.5000 1



# Tm8Tl3Bi2 (PBE, relaxed)
# formation energy: -0.182 eV per atom
# uncorrected energy: -4.077 eV/atom
# crystal system: orthorhombic
data_Tm8Tl3Bi2
_space_group_name_H-M_alt 'P 1'
_space_group_IT_number 1
_cell_length_a 5.0041
_cell_length_b 10.2584
_cell_length_c 9.2508
_cell_angle_alpha 123.67
_cell_angle_beta 90.00
_cell_angle_gamma 90.00
loop_
_space_group_symop_operation_xyz
'x,y,z'
loop_
_atom_site_label
_atom_site_fract_x
_atom_site_fract_y
_atom_site_fract_z
_atom_site_occupancy
Tm1 0.0000 0.6141 0.2283 1
Tm2 0.0000 0.3859 0.7717 1
Tm3 0.0000 0.1302 0.2605 1
Tm4 0.0000 0.8698 0.7395 1
Tm5 0.5000 0.6325 0.7508 1
Tm6 0.5000 0.1182 0.7508 1
Tm7 0.5000 0.8818 0.2492 1
Tm8 0.5000 0.3675 0.2492 1
Tl1 0.5000 0.0000 0.0000 1
Tl2 0.0000 0.2534 0.0000 1
Tl3 0.0000 0.7466 0.0000 1
Bi1 0.5000 0.2623 0.5246 1
Bi2 0.5000 0.7377 0.4754 1



# TbTlAu2 (PBE, relaxed)
# formation energy: -0.527 eV per atom
# uncorrected energy: -3.915 eV/atom
# crystal system: tetragonal
data_TbTlAu2
_space_group_name_H-M_alt 'P 1'
_space_group_IT_number 1
_cell_length_a 3.7303
_cell_length_b 3.7303
_cell_length_c 6.7606
_cell_angle_alpha 90.00
_cell_angle_beta 90.00
_cell_angle_gamma 90.00
loop_
_space_group_symop_operation_xyz
'x,y,z'
loop_
_atom_site_label
_atom_site_fract_x
_atom_site_fract_y
_atom_site_fract_z
_atom_site_occupancy
Tb1 0.5000 0.5000 0.0000 1
Tl1 0.5000 0.5000 0.5000 1
Au1 0.0000 0.0000 0.7734 1
Au2 0.0000 0.0000 0.2266 1



# La15Pr4Ho (PBE, relaxed)
# formation energy: 0.009 eV per atom
# uncorrected energy: -4.871 eV/atom
# crystal system: tetragonal
data_La15Pr4Ho
_space_group_name_H-M_alt 'P 1'
_space_group_IT_number 1
_cell_length_a 5.2459
_cell_length_b 5.2459
_cell_length_c 26.3399
_cell_angle_alpha 90.00
_cell_angle_beta 90.00
_cell_angle_gamma 90.00
loop_
_space_group_symop_operation_xyz
'x,y,z'
loop_
_atom_site_label
_atom_site_fract_x
_atom_site_fract_y
_atom_site_fract_z
_atom_site_occupancy
La1 0.5000 0.5000 0.0000 1
La2 0.5000 0.5000 0.1987 1
La3 0.5000 0.5000 0.3997 1
La4 0.5000 0.5000 0.6003 1
La5 0.5000 0.5000 0.8013 1
La6 0.5000 0.0000 0.0984 1
La7 0.5000 0.0000 0.2990 1
La8 0.5000 0.0000 0.5000 1
La9 0.5000 0.0000 0.7010 1
La10 0.5000 0.0000 0.9016 1
La11 0.0000 0.5000 0.0984 1
La12 0.0000 0.5000 0.2990 1
La13 0.0000 0.5000 0.5000 1
La14 0.0000 0.5000 0.7010 1
La15 0.0000 0.5000 0.9016 1
Pr1 0.0000 0.0000 0.1987 1
Pr2 0.0000 0.0000 0.3996 1
Pr3 0.0000 0.0000 0.6004 1
Pr4 0.0000 0.0000 0.8013 1
Ho1 0.0000 0.0000 0.0000 1



Among the records above, which one has the lowest uncorrected energy? Zr2NbFe



Look up the uncorrected energy of the seventh one. -4.077 eV/atom